# 1
DFT (PBE) results for Nd2Ho3Er2 after structural relaxation.

a b c (Å): 3.503 8.521 8.935
angles (deg): 118.58 101.30 90.00
Atoms (fractional coordinates):
Nd1 0.433 0.087 0.866
Nd2 0.567 0.913 0.134
Ho1 0.211 0.798 0.423
Ho2 0.000 0.500 0.000
Ho3 0.789 0.202 0.577
Er1 0.151 0.335 0.301
Er2 0.849 0.665 0.699

E above lowest polymorph: 0.73 eV per formula unit
Final energy: -31.52 eV/cell
Calculated formation energy: 125 meV/atom
Magnetic moment: 0.000 μB per formula unit

=====

# 2
DFT (PBE) results for MgZrGa after structural relaxation.

a b c (Å): 3.051 5.122 15.119
angles (deg): 90.00 92.16 90.00
Atoms (fractional coordinates):
Ga1 0.503 0.889 0.848
Ga2 0.497 0.389 0.652
Ga3 0.503 0.389 0.348
Ga4 0.497 0.889 0.152
Zr1 0.949 0.891 0.318
Zr2 0.051 0.891 0.682
Zr3 0.949 0.391 0.818
Zr4 0.051 0.391 0.182
Mg1 0.000 0.561 0.500
Mg2 0.000 0.061 0.000
Mg3 0.500 0.549 0.000
Mg4 0.500 0.049 0.500

Final energy: -56.21 eV/cell
Calculated formation energy: -295 meV/atom
Magnetic moment: 0.000 μB per formula unit

=====

# 3
DFT (PBE) results for Pm2PaRhO8 after structural relaxation.

a b c (Å): 4.716 5.211 7.045
angles (deg): 89.33 89.13 92.83
Site moments in Bohr magnetons follow the coordinates.
Atoms (fractional coordinates):
O1 0.888 0.239 0.766  0.02
O2 0.310 0.240 0.037  0.32
O3 0.690 0.760 0.963  0.32
O4 0.179 0.836 0.763  0.03
O5 0.343 0.269 0.478  0.01
O6 0.112 0.761 0.234  0.02
O7 0.821 0.164 0.237  0.03
O8 0.657 0.731 0.522  0.01
Rh1 0.000 0.000 0.000  1.01
Pm1 0.566 0.536 0.240  0.02
Pm2 0.434 0.464 0.760  0.02
Pa1 0.000 0.000 0.500  0.01

Formation energy (no corrections): -2.5484 eV per atom
Final energy: -96.59 eV/cell
Magnetic moment: 2.034 μB per formula unit

=====

# 4
DFT (PBE) results for TlRe2Rh after structural relaxation.

a b c (Å): 7.557 7.557 5.941
angles (deg): 50.50 50.50 90.00
Atoms (fractional coordinates):
Tl1 0.750 0.250 0.500
Tl2 0.000 0.000 0.000
Re1 0.173 0.625 0.250
Re2 0.375 0.423 0.750
Re3 0.875 0.827 0.750
Re4 0.577 0.125 0.250
Rh1 0.500 0.500 0.000
Rh2 0.250 0.750 0.500

E above lowest polymorph: 3.40 eV per formula unit
Final energy: -59.80 eV/cell
Calculated formation energy: 1178 meV/atom
Magnetic moment: 0.000 μB per formula unit

=====

# 5
DFT (PBE) results for Cd5SnHg6 after structural relaxation.

a b c (Å): 6.148 9.463 7.047
angles (deg): 47.82 81.20 76.83
Atoms (fractional coordinates):
Sn1 0.000 0.000 0.000
Cd1 0.000 0.673 0.655
Cd2 0.000 0.327 0.345
Cd3 0.500 0.156 0.688
Cd4 0.500 0.844 0.312
Cd5 0.500 0.500 0.000
Hg1 0.258 0.573 0.342
Hg2 0.742 0.085 0.342
Hg3 0.757 0.742 0.000
Hg4 0.742 0.427 0.658
Hg5 0.258 0.915 0.658
Hg6 0.243 0.258 0.000

Final energy: -10.11 eV/cell
Calculated formation energy: 23 meV/atom
Magnetic moment: 0.000 μB per formula unit

=====

# 6
DFT (PBE) results for LiZnP2 after structural relaxation.

a b c (Å): 2.823 2.823 7.617
angles (deg): 90.00 90.00 101.71
Atoms (fractional coordinates):
Li1 0.500 0.500 0.750
P1 0.000 0.000 0.499
P2 0.000 0.000 0.001
Zn1 0.500 0.500 0.250

Final energy: -13.77 eV/cell
Calculated formation energy: 59 meV/atom
Magnetic moment: 0.000 μB per formula unit

=====

Which formula does entry 4 have? TlRe2Rh

=====

Among the records above, which one has the highest final energy? Cd5SnHg6